VASP calculation (PBE-GGA) on crystalline Rb2TaSiI at its relaxed geometry.

Geometry as extended XYZ:
```
5
Lattice="-6.4314 -2.2251 -0.5630 0.7748 -3.6815 5.6989 -1.5569 3.8219 2.6806" Properties=species:S:1:pos:R:3 pbc="T T T"
Ta -0.7785 1.9109 1.3403
Si 0.0000 0.0000 0.0000
Rb 0.3874 -1.8408 2.8495
Rb -3.2157 -1.1125 -0.2815
I -3.6068 -1.0423 3.9082
```

Calculated values
calculated total energy = -3.72 eV per atom
space group = P4/mmm
raw formation energy = 0.44 eV per atom

VASP calculation (PBE-GGA) on crystalline Ba3Tb3ErTe8 at its relaxed geometry.

Geometry as extended XYZ:
```
15
Lattice="-8.5457 0.7209 2.7467 1.8176 -1.7079 -8.6484 1.4591 -6.9600 6.3604" Properties=species:S:1:pos:R:3 pbc="T T T"
Ba 0.0000 0.0000 0.0000
Ba -3.3640 -0.4935 -2.9508
Ba 0.9088 -0.8539 -4.3242
Te -1.7848 -1.8344 2.3278
Te 0.7760 -6.4722 -3.2375
Te -4.4005 -5.2747 2.4568
Te -5.1397 -2.3271 -0.6149
Te -0.8684 -2.6722 -1.9980
Te -0.1293 -5.6198 1.0736
Te -3.4841 -6.1125 -1.8691
Te -6.0449 -1.4747 3.6962
Tb -2.6345 -3.9735 0.2294
Tb 1.6384 -4.3339 -1.1440
Tb -3.5433 -3.1195 4.5536
Er 0.7296 -3.4800 3.1802
```

Calculated values
calculated total energy = -4.83 eV per atom
space group = R-3m
raw formation energy = -1.53 eV per atom